(1)
A relaxed LaHf3S crystal. Source: Alexandria, functional PBE-GGA.

energy: -8.118 eV/atom
ΔE_f (raw): -0.335 eV/atom
E above lowest polymorph: 0.0000 eV/atom
symmetry: Pm-3m, No. 221
crystal system: cubic

abc: 4.946 4.946 4.946
angles: 90.00 90.00 90.00
Fractional positions:
La  0.000  0.000  0.000
Hf  0.000  0.500  0.500
Hf  0.500  0.000  0.500
Hf  0.500  0.500  0.000
S  0.500  0.500  0.500

***

(2)
A relaxed LaHfS2 crystal. Source: Alexandria, functional PBE-GGA.

energy: -7.052 eV/atom
ΔE_f (raw): -1.268 eV/atom
E above lowest polymorph: 0.0176 eV/atom
symmetry: R-3m, No. 166
crystal system: trigonal

abc: 8.969 8.969 8.969
angles: 23.46 23.46 23.46
Fractional positions:
La  0.000  0.000  0.000
Hf  0.500  0.500  0.500
S  0.110  0.110  0.110
S  0.890  0.890  0.890